VASP calculation (PBE-GGA) on a relaxed Ca2GaBiO6 crystal. Values from VASP.

The value obtained for the uncorrected formation energy is -1.807 eV per atom. The calculation puts the total energy at -5.8733 eV per atom. As for the energy above the most stable polymorph in this dataset: 184 meV/atom. As for the total magnetization: 0.0 μB/f.u.

```
&SYSTEM
  ibrav = 0, nat = 10, ntyp = 4
/
ATOMIC_SPECIES
O 16.00 O.upf
Bi 208.98 Bi.upf
Ga 69.72 Ga.upf
Ca 40.08 Ca.upf
ATOMIC_POSITIONS crystal
O 0.7423 0.2577 0.2577
Bi 0.0000 0.0000 0.0000
Ga 0.5000 0.5000 0.5000
O 0.7423 0.7423 0.2577
O 0.2577 0.7423 0.2577
O 0.7423 0.2577 0.7423
O 0.2577 0.2577 0.7423
Ca 0.2500 0.2500 0.2500
O 0.2577 0.7423 0.7423
Ca 0.7500 0.7500 0.7500
CELL_PARAMETERS angstrom
-5.1836 -1.5536 1.8273
-2.8916 3.3719 3.5903
-4.6295 2.8060 -1.8209
```


VASP calculation (PBE-GGA) on a relaxed Li3ZrCu3 crystal. Values from VASP.

The calculated formation energy is 662 meV per atom. The calculation puts the total energy at -3.1346 eV per atom. As for the total magnetization: 0.0 μB/f.u.

```
&SYSTEM
  ibrav = 0, nat = 14, ntyp = 3
/
ATOMIC_SPECIES
Li 6.94 Li.upf
Zr 91.22 Zr.upf
Cu 63.55 Cu.upf
ATOMIC_POSITIONS crystal
Li 0.5000 0.2500 0.0000
Li 0.0000 0.5000 0.2500
Li 0.5000 0.7500 0.0000
Zr 0.0000 0.0000 0.0000
Cu 0.0000 0.2500 0.5000
Zr 0.5000 0.5000 0.5000
Li 0.2500 0.0000 0.5000
Cu 0.2500 0.5000 0.0000
Cu 0.5000 0.0000 0.7500
Cu 0.5000 0.0000 0.2500
Cu 0.7500 0.5000 0.0000
Li 0.7500 0.0000 0.5000
Li 0.0000 0.5000 0.7500
Cu 0.0000 0.7500 0.5000
CELL_PARAMETERS angstrom
6.1414 0.0000 0.0000
0.0000 6.1414 0.0000
0.0000 0.0000 6.1414
```


VASP calculation (PBE-GGA) on a relaxed Ga4Co3Ir crystal. Values from VASP.

The calculated formation energy is -300 meV per atom. The calculation puts the total energy at -5.5855 eV per atom. As for the total magnetization: 0.6 μB/f.u.

```
&SYSTEM
  ibrav = 0, nat = 8, ntyp = 3
/
ATOMIC_SPECIES
Co 58.93 Co.upf
Ga 69.72 Ga.upf
Ir 192.22 Ir.upf
ATOMIC_POSITIONS crystal
Co 0.7499 0.2500 0.4999
Co 0.0000 0.5000 0.0000
Ga 0.1307 0.1306 0.2614
Co 0.2501 0.7500 0.5001
Ga 0.6307 0.6307 0.2614
Ga 0.8693 0.8694 0.7386
Ir 0.5000 0.0000 0.0000
Ga 0.3693 0.3693 0.7386
CELL_PARAMETERS angstrom
-2.1014 -3.5542 -0.4341
1.6075 -1.3862 3.5681
-4.2768 4.7864 1.3681
```


What did the first record say?
VASP calculation (PBE-GGA) on a relaxed Ca2GaBiO6 crystal. Values from VASP.

The value obtained for the uncorrected formation energy is -1.807 eV per atom. The calculation puts the total energy at -5.8733 eV per atom. As for the energy above the most stable polymorph in this dataset: 184 meV/atom. As for the total magnetization: 0.0 μB/f.u.

```
&SYSTEM
  ibrav = 0, nat = 10, ntyp = 4
/
ATOMIC_SPECIES
O 16.00 O.upf
Bi 208.98 Bi.upf
Ga 69.72 Ga.upf
Ca 40.08 Ca.upf
ATOMIC_POSITIONS crystal
O 0.7423 0.2577 0.2577
Bi 0.0000 0.0000 0.0000
Ga 0.5000 0.5000 0.5000
O 0.7423 0.7423 0.2577
O 0.2577 0.7423 0.2577
O 0.7423 0.2577 0.7423
O 0.2577 0.2577 0.7423
Ca 0.2500 0.2500 0.2500
O 0.2577 0.7423 0.7423
Ca 0.7500 0.7500 0.7500
CELL_PARAMETERS angstrom
-5.1836 -1.5536 1.8273
-2.8916 3.3719 3.5903
-4.6295 2.8060 -1.8209
```